Entry from OQMD: crystalline NaCuWSe2S at its relaxed geometry (PBE).

Cell: 3.538 13.850 9.417 Å, 90.00 90.00 90.00°
Space group Cmcm (No. 63)
One atom of each set of equivalent atoms:
Na 0.000 0.244 0.250 (multiplicity 4)
Cu 0.000 0.033 0.750 (multiplicity 4)
W 0.000 0.500 0.000 (multiplicity 4)
Se 0.000 0.135 0.546 (multiplicity 8)
S 0.000 0.429 0.750 (multiplicity 4)

=====

Entry from OQMD: crystalline NaZrCuSeS2 at its relaxed geometry (PBE).

Cell: 3.737 13.274 10.017 Å, 90.00 90.00 90.00°
Space group Cmcm (No. 63)
One atom of each set of equivalent atoms:
Na 0.000 0.232 0.250 (multiplicity 4)
Zr 0.000 0.000 0.000 (multiplicity 4)
Cu 0.000 0.472 0.750 (multiplicity 4)
Se 0.000 0.091 0.750 (multiplicity 4)
S 0.000 0.373 0.563 (multiplicity 8)

=====

Entry from OQMD: crystalline Na2CuSiS4 at its relaxed geometry (PBE).

Cell: 6.510 6.510 7.876 Å, 90.00 90.00 90.00°
Space group I-4 (No. 82)
One atom of each set of equivalent atoms:
Na 0.000 0.000 0.000 (multiplicity 2)
Na 0.000 0.500 0.250 (multiplicity 2)
Cu 0.000 0.500 0.750 (multiplicity 2)
Si 0.000 0.000 0.500 (multiplicity 2)
S 0.172 0.224 0.640 (multiplicity 8)

=====

Entry from OQMD: crystalline NaCuSiTe2S at its relaxed geometry (PBE).

Cell: 3.868 13.448 10.464 Å, 90.00 90.00 90.00°
Space group Cmcm (No. 63)
One atom of each set of equivalent atoms:
Na 0.000 0.216 0.250 (multiplicity 4)
Cu 0.000 0.048 0.750 (multiplicity 4)
Si 0.000 0.500 0.000 (multiplicity 4)
Te 0.000 0.143 0.534 (multiplicity 8)
S 0.000 0.457 0.750 (multiplicity 4)

=====

It is found that the VASP energy values, taken in the order of the records, are -5.229, -5.365, -4.292, -3.701 eV per atom.